Computed, not measured: crystalline SrRe5 at its relaxed geometry at the PBE level of DFT.

## Properties
Calculated volume ... 17.4 Å³/atom
E_tot ... -10.01 eV per atom
Formation enthalpy at 0 K ... 62.09 kJ/mol of atoms
Space group ... Cm
Density of states at the Fermi level ... 0.73 states/eV per atom
Polymorph energy (0 for the lowest one) ... 125.0 meV/atom
Mass density ... 16.237 Mg/m³

Lattice parameters (Å, degrees): 5.630 5.630 6.995 105.30 105.30 29.24
Fractional positions:
Sr1 0.000 0.000 0.000
Re1 0.274 0.274 0.092
Re2 0.353 0.353 0.633
Re3 0.674 0.674 0.739
Re4 0.702 0.702 0.363
Re5 0.997 0.997 0.448